This record from Alexandria describes an optimized crystal structure of HPd3Pt. The functional is PBE.

Cell: 10.510 10.510 10.510 Å, 90.00 90.00 90.00°
Space group Fd-3m (No. 227, origin choice 2)
Symmetry-distinct sites (fractional):
H  0.000  0.000  0.000 x16
Pd  0.067  0.375  0.375 x48
Pt  0.000  0.000  0.500 x16

Properties
Excess energy over the best structure of this formula in the dataset: 297 meV/atom
E_tot: -4.73 eV/atom



This record from Alexandria describes an optimized crystal structure of CuTc2Ir. The functional is PBE.

Cell: 3.829 3.829 7.647 Å, 90.00 90.00 90.00°
Space group I-4m2 (No. 119)
Symmetry-distinct sites (fractional):
Cu  0.000  0.000  0.000 x2
Tc  0.000  0.000  0.500 x2
Tc  0.000  0.500  0.250 x2
Ir  0.000  0.500  0.750 x2

Properties
Excess energy over the best structure of this formula in the dataset: 70 meV/atom
DFT formation energy: 0.112 eV/atom
E_tot: -8.31 eV/atom



This record from Alexandria describes an optimized crystal structure of La4Bi8Rh3. The functional is PBE.

Cell: 4.680 4.680 19.713 Å, 90.00 90.00 90.00°
Space group P-4m2 (No. 115)
Symmetry-distinct sites (fractional):
La  0.000  0.500  0.112 x2
La  0.000  0.500  0.616 x2
Bi  0.000  0.000  0.248 x2
Bi  0.000  0.500  0.422 x2
Bi  0.000  0.500  0.930 x2
Bi  0.500  0.500  0.248 x2
Rh  0.000  0.000  0.000 x1
Rh  0.000  0.000  0.500 x1
Rh  0.500  0.500  0.500 x1

Properties
DFT formation energy: -0.649 eV/atom
E_tot: -5.50 eV/atom



This record from Alexandria describes an optimized crystal structure of Tb2PmPd9. The functional is PBE.

Cell: 4.154 4.154 12.438 Å, 90.00 90.00 90.00°
Space group P4/mmm (No. 123)
Symmetry-distinct sites (fractional):
Tb  0.000  0.000  0.165 x2
Pm  0.000  0.000  0.500 x1
Pd  0.000  0.500  0.000 x2
Pd  0.000  0.500  0.330 x4
Pd  0.500  0.500  0.166 x2
Pd  0.500  0.500  0.500 x1

Properties
DFT formation energy: -0.837 eV/atom
E_tot: -5.90 eV/atom